Entry 1:
Material: CaLaGa
Method: DFT, PBE
State: optimized geometry

Computed properties:
Excess energy over the best structure of this formula in the dataset (eV per atom): 0.148

```
data_CaLaGa
_cell_length_a 17.1958
_cell_length_b 3.8853
_cell_length_c 5.3521
_cell_angle_alpha 90.00
_cell_angle_beta 90.02
_cell_angle_gamma 90.00
_symmetry_space_group_name_H-M 'C 1 2/m 1'
_symmetry_Int_Tables_number 12
_symmetry_space_group_name_Hall '-C 2y'
loop_
_atom_site_label
_atom_site_type_symbol
_atom_site_fract_x
_atom_site_fract_y
_atom_site_fract_z
_atom_site_occupancy
Ca1 Ca 0.0708 0.0000 0.2503 1
La1 La 0.2209 0.0000 0.7503 1
Ga1 Ga 0.0803 0.5000 0.7506 1
```

Entry 2:
Material: KZnIn2Ru
Method: DFT, PBE
State: optimized geometry

```
data_KZnIn2Ru
_cell_length_a 5.1952
_cell_length_b 5.1952
_cell_length_c 5.0168
_cell_angle_alpha 90.00
_cell_angle_beta 90.00
_cell_angle_gamma 90.00
_symmetry_space_group_name_H-M 'P 4/m m m'
_symmetry_Int_Tables_number 123
_symmetry_space_group_name_Hall '-P 4 2'
loop_
_atom_site_label
_atom_site_type_symbol
_atom_site_fract_x
_atom_site_fract_y
_atom_site_fract_z
_atom_site_occupancy
K1 K 0.0000 0.0000 0.0000 1
Zn1 Zn 0.5000 0.5000 0.0000 1
In1 In 0.0000 0.5000 0.5000 1
Ru1 Ru 0.5000 0.5000 0.5000 1
```

Entry 3:
Material: PmYMgIr
Method: DFT, PBE
State: optimized geometry

```
data_PmYMgIr
_cell_length_a 7.2125
_cell_length_b 7.2125
_cell_length_c 7.2125
_cell_angle_alpha 90.00
_cell_angle_beta 90.00
_cell_angle_gamma 90.00
_symmetry_space_group_name_H-M 'F -4 3 m'
_symmetry_Int_Tables_number 216
_symmetry_space_group_name_Hall 'F -4 2 3'
loop_
_atom_site_label
_atom_site_type_symbol
_atom_site_fract_x
_atom_site_fract_y
_atom_site_fract_z
_atom_site_occupancy
Pm1 Pm 0.0000 0.0000 0.0000 1
Y1 Y 0.0000 0.0000 0.5000 1
Mg1 Mg 0.2500 0.2500 0.2500 1
Ir1 Ir 0.2500 0.2500 0.7500 1
```

Entry 4:
Material: NdTm4Ag2
Method: DFT, PBE
State: optimized geometry

```
data_NdTm4Ag2
_cell_length_a 4.8972
_cell_length_b 4.8972
_cell_length_c 30.8963
_cell_angle_alpha 90.00
_cell_angle_beta 90.00
_cell_angle_gamma 120.00
_symmetry_space_group_name_H-M 'R -3 m'
_symmetry_Int_Tables_number 166
_symmetry_space_group_name_Hall '-R 3 2"'
loop_
_atom_site_label
_atom_site_type_symbol
_atom_site_fract_x
_atom_site_fract_y
_atom_site_fract_z
_atom_site_occupancy
Nd1 Nd 0.0000 0.0000 0.0000 1
Tm1 Tm 0.0000 0.0000 0.2008 1
Tm2 Tm 0.0000 0.0000 0.3995 1
Ag1 Ag 0.0000 0.0000 0.1026 1
```

Entry 5:
Material: CePPtRh
Method: DFT, PBE
State: optimized geometry

```
data_CePPtRh
_cell_length_a 3.9017
_cell_length_b 3.9017
_cell_length_c 9.5276
_cell_angle_alpha 90.00
_cell_angle_beta 90.00
_cell_angle_gamma 90.00
_symmetry_space_group_name_H-M 'P 4/n m m'
_symmetry_Int_Tables_number 129
loop_
_symmetry_equiv_pos_as_xyz
'x,y,z'
'-x,-y,-z'
'-y+1/2,x,z'
'y+1/2,-x,-z'
'-x+1/2,-y+1/2,z'
'x+1/2,y+1/2,-z'
'y,-x+1/2,z'
'-y,x+1/2,-z'
'x+1/2,-y,-z'
'-x+1/2,y,z'
'-y,-x,-z'
'y,x,z'
'-x,y+1/2,-z'
'x,-y+1/2,z'
'y+1/2,x+1/2,-z'
'-y+1/2,-x+1/2,z'
loop_
_atom_site_label
_atom_site_type_symbol
_atom_site_fract_x
_atom_site_fract_y
_atom_site_fract_z
_atom_site_occupancy
Ce1 Ce 0.2500 0.2500 0.2245 1
P1 P 0.2500 0.2500 0.6456 1
Pt1 Pt 0.2500 0.2500 0.9095 1
Rh1 Rh 0.2500 0.7500 0.5000 1
```

The records above give, respectively, energy relative to the elements values of -0.2955, -0.0607, -0.3900, 0.1552, -1.0658 eV per atom.